Ho3V5Pd12: relaxed, PBE.

Summary:
As for the energy of formation: 257.2 meV per atom. The density of states at the Fermi level is 89.1 states/eV/cell. The volume comes out at 21.4 A^3/atom.

Structure (POSCAR):
```
Ho3V5Pd12
1.0
-7.540 7.540 7.540
7.540 -7.540 7.540
7.540 7.540 -7.540
Ho V Pd
12 20 48
Direct
0.125 0.250 0.375
0.125 0.375 0.750
0.250 0.375 0.125
0.250 0.875 0.625
0.375 0.125 0.250
0.375 0.750 0.125
0.625 0.250 0.875
0.625 0.875 0.750
0.750 0.125 0.375
0.750 0.625 0.875
0.875 0.625 0.250
0.875 0.750 0.625
0.000 0.000 0.000
0.000 0.000 0.500
0.000 0.500 0.000
0.000 0.500 0.500
0.125 0.750 0.875
0.125 0.875 0.250
0.250 0.125 0.875
0.250 0.625 0.375
0.375 0.250 0.625
0.375 0.625 0.750
0.500 0.000 0.000
0.500 0.000 0.500
0.500 0.500 0.000
0.500 0.500 0.500
0.625 0.375 0.250
0.625 0.750 0.375
0.750 0.375 0.625
0.750 0.875 0.125
0.875 0.125 0.750
0.875 0.250 0.125
0.050 0.217 0.128
0.050 0.333 0.922
0.078 0.628 0.411
0.078 0.950 0.667
0.089 0.717 0.667
0.089 0.872 0.422
0.128 0.050 0.217
0.128 0.578 0.911
0.167 0.217 0.589
0.167 0.450 0.578
0.217 0.128 0.050
0.217 0.589 0.167
0.283 0.333 0.911
0.283 0.450 0.372
0.333 0.911 0.283
0.333 0.922 0.050
0.372 0.283 0.450
0.372 0.589 0.922
0.411 0.078 0.628
0.411 0.833 0.783
0.422 0.089 0.872
0.422 0.833 0.550
0.450 0.372 0.283
0.450 0.578 0.167
0.550 0.422 0.833
0.550 0.628 0.717
0.578 0.167 0.450
0.578 0.911 0.128
0.589 0.167 0.217
0.589 0.922 0.372
0.628 0.411 0.078
0.628 0.717 0.550
0.667 0.078 0.950
0.667 0.089 0.717
0.717 0.550 0.628
0.717 0.667 0.089
0.783 0.411 0.833
0.783 0.872 0.950
0.833 0.550 0.422
0.833 0.783 0.411
0.872 0.422 0.089
0.872 0.950 0.783
0.911 0.128 0.578
0.911 0.283 0.333
0.922 0.050 0.333
0.922 0.372 0.589
0.950 0.667 0.078
0.950 0.783 0.872
```


HoVPd: relaxed, PBE.

Summary:
As for the energy of formation: -156.3 meV per atom. The density of states at the Fermi level is 7.7 states/eV/cell. The volume comes out at 19.7 A^3/atom.

Structure (POSCAR):
```
HoVPd
1.0
3.549 0.000 0.000
0.000 3.549 0.000
0.000 0.000 9.397
Ho V Pd
2 2 2
Direct
0.000 0.000 0.182
0.000 0.000 0.818
0.500 0.500 0.395
0.500 0.500 0.605
0.000 0.000 0.500
0.500 0.500 0.000
```


Ho2VPd: relaxed, PBE.

Summary:
As for the energy of formation: -246.7 meV per atom. The density of states at the Fermi level is 2.2 states/eV/cell. The volume comes out at 21.7 A^3/atom.

Structure (POSCAR):
```
Ho2VPd
1.0
4.923 0.000 0.000
0.000 4.923 0.000
0.000 0.000 3.583
Ho V Pd
2 1 1
Direct
0.000 0.500 0.000
0.500 0.000 0.000
0.000 0.000 0.500
0.500 0.500 0.500
```


YHoPd: relaxed, PBE.

Summary:
As for the energy of formation: -558.5 meV per atom. The density of states at the Fermi level is 11.5 states/eV/cell. The volume comes out at 25.6 A^3/atom.

Structure (POSCAR):
```
YHoPd
1.0
7.405 0.000 0.000
-3.702 6.413 0.000
0.000 0.000 4.844
Y Ho Pd
3 3 3
Direct
0.000 0.264 0.000
0.264 0.000 0.000
0.736 0.736 0.000
0.000 0.595 0.500
0.405 0.405 0.500
0.595 0.000 0.500
0.000 0.000 0.500
0.333 0.667 0.000
0.667 0.333 0.000
```


YHo3Pd2: relaxed, PBE.

Summary:
As for the energy of formation: -606.6 meV per atom. The density of states at the Fermi level is 13.6 states/eV/cell. The volume comes out at 25.9 A^3/atom.

Structure (POSCAR):
```
YHo3Pd2
1.0
3.767 0.000 0.000
0.000 9.671 0.000
0.000 0.000 8.520
Y Ho Pd
2 6 4
Direct
0.000 0.069 0.000
0.000 0.931 0.500
0.000 0.286 0.659
0.000 0.714 0.159
0.500 0.215 0.320
0.500 0.434 0.979
0.500 0.566 0.479
0.500 0.785 0.820
0.000 0.426 0.252
0.000 0.574 0.752
0.500 0.076 0.725
0.500 0.924 0.225
```


YHo3Pd: relaxed, PBE.

Summary:
As for the energy of formation: -272.4 meV per atom. The density of states at the Fermi level is 15.9 states/eV/cell. The volume comes out at 29.9 A^3/atom.

Structure (POSCAR):
```
YHo3Pd
1.0
5.772 -4.213 0.000
5.772 4.213 0.000
-4.896 0.000 6.153
Y Ho Pd
2 6 2
Direct
0.040 0.040 0.310
0.960 0.960 0.690
0.094 0.493 0.260
0.426 0.426 0.726
0.493 0.094 0.260
0.507 0.906 0.740
0.574 0.574 0.274
0.906 0.507 0.740
0.271 0.271 0.919
0.729 0.729 0.081
```